Version A
Density functional theory data (PBE) for a relaxed KNaSn2 crystal.

Cell lengths 5.1100, 5.1100, 22.5655 Å; angles 90.00, 90.00, 90.00 degrees
With the nearest neighbours (Å) after each atom.
Space group I-42d (No. 122)
One atom of each set of equivalent atoms:
K (0.0000, 0.0000, 0.0000)  4 Sn 3.58, 4 Na 3.61
Na (0.0000, 0.0000, 0.5000)  4 Sn 3.19
Sn (0.1485, 0.2500, 0.6250)  2 Sn 2.97, 2 Na 3.19

Version B
Density functional theory data (PBE) for a relaxed KNaSn2 crystal.

Cell lengths 8.4041, 7.7847, 8.9790 Å; angles 90.00, 90.00, 90.00 degrees
With the nearest neighbours (Å) after each atom.
Space group Pnma (No. 62)
One atom of each set of equivalent atoms:
K (0.0142, 0.2500, 0.1636)  8 Sn 3.76-3.94
Na (0.1573, 0.7500, 0.3072)  6 Sn 3.20-3.34
Sn (0.1598, 0.0654, 0.5350)  2 Sn 2.87-2.94, 1 Na 3.20

Tell me which of them is the most stable. Sure, it is version B.

Version A
Density functional theory data (PBE) for a relaxed K3NaSn crystal.

Cell lengths 6.8565, 6.8565, 6.8565 Å; angles 90.00, 90.00, 90.00 degrees
With the nearest neighbours (Å) after each atom.
Space group Pm-3m (No. 221)
One atom of each set of equivalent atoms:
K (0.0000, 0.0000, 0.5000)  2 Sn 3.43
Na (0.5000, 0.5000, 0.5000)  12 K 4.85
Sn (0.0000, 0.0000, 0.0000)  6 K 3.43

Version B
Density functional theory data (PBE) for a relaxed K3NaSn crystal.

Cell lengths 9.2789, 7.5446, 13.9302 Å; angles 90.00, 96.80, 90.00 degrees
With the nearest neighbours (Å) after each atom.
Space group P2/c (No. 13)
One atom of each set of equivalent atoms:
K (0.0016, 0.2354, 0.1131)  2 Sn 3.69-3.83, 2 K 3.82-4.03, 1 Na 3.97
K (0.2298, 0.3127, 0.8187)  2 Sn 3.83-4.09, 3 Na 4.04-4.16, 2 K 4.15-4.20
K (0.3527, 0.0958, 0.5672)  3 Sn 3.68-3.91, 2 K 3.78-4.03, 2 Na 3.81-3.84
Na (0.4043, 0.4064, 0.1031)  2 Sn 3.16-3.24
Sn (0.3471, 0.1688, 0.2889)  1 Sn 3.16, 2 Na 3.16-3.24

Tell me which of them is the most stable. Sure, it is version B.